# 1
ZnTcH3: optimized geometry, PBE.

Computed properties:
Calculated volume = 8.19 Å³ per atom
Energy relative to the lowest polymorph listed for this composition = 0.000 eV per atom
Crystal system = cubic
Space-group type = Pm-3m

Structure (extended XYZ):
```
5
Lattice="3.4467 0.0000 0.0000 0.0000 3.4467 0.0000 0.0000 0.0000 3.4467" Properties=species:S:1:pos:R:3 pbc="T T T"
H 0.0000 1.7234 0.0000
H 1.7234 0.0000 0.0000
H 0.0000 0.0000 1.7234
Tc 0.0000 0.0000 0.0000
Zn 1.7234 1.7234 1.7234
```

# 2
LiNd2Pu3Te6: optimized geometry, PBE.

Computed properties:
Calculated volume = 31.12 Å³ per atom
Crystal system = monoclinic
Space-group type = C2/m
Formation energy without anion corrections = -14.5 eV/f.u.

Structure (extended XYZ):
```
12
Lattice="4.4456 0.0000 0.0000 0.0000 8.9024 0.3236 -2.2228 -2.5580 9.3435" Properties=species:S:1:pos:R:3 pbc="T T T"
Te 2.2228 -0.1254 3.0801
Te 2.2228 4.3947 3.2867
Te 0.0000 6.7293 0.2754
Te 0.0000 1.9497 6.3804
Te 0.0000 6.4699 6.5870
Te 2.2228 -0.3848 9.3917
Nd 2.2228 4.2164 6.4690
Nd 0.0000 2.1280 3.1980
Li 2.2228 0.0000 0.0000
Pu 0.0000 6.5850 3.4085
Pu 2.2228 -0.2406 6.2585
Pu 2.2228 4.4512 0.1618
```

# 3
KCa2Rh2: optimized geometry, PBE.

Computed properties:
Calculated volume = 24.08 Å³ per atom
Energy relative to the lowest polymorph listed for this composition = 0.000 eV per atom
Crystal system = tetragonal
Space-group type = P4/mbm

Structure (extended XYZ):
```
10
Lattice="8.6044 0.0000 0.0000 0.0000 8.6044 0.0000 0.0000 0.0000 3.2529" Properties=species:S:1:pos:R:3 pbc="T T T"
Ca 3.0774 1.2248 1.6264
Ca 1.2248 5.5271 1.6264
Ca 5.5271 7.3796 1.6264
Ca 7.3796 3.0774 1.6264
K 0.0000 0.0000 0.0000
K 4.3022 4.3022 0.0000
Rh 1.2551 3.0471 0.0000
Rh 5.5573 1.2551 0.0000
Rh 3.0471 7.3493 0.0000
Rh 7.3493 5.5573 0.0000
```

# 4
La3PmEr7: optimized geometry, PBE.

Computed properties:
Calculated volume = 34.05 Å³ per atom
Energy relative to the lowest polymorph listed for this composition = 0.000 eV per atom
Crystal system = triclinic
Space-group type = P-1

Structure (extended XYZ):
```
11
Lattice="6.3790 -0.0126 0.3991 0.3834 7.6151 1.0736 -0.0390 0.0322 7.7122" Properties=species:S:1:pos:R:3 pbc="T T T"
Er 4.8805 4.3780 7.9198
Er 1.5779 5.8097 6.7635
Er 0.1722 3.8237 4.3929
Er 5.1455 1.8250 2.4214
Er 1.6996 0.6993 3.4998
Er 5.0238 6.9354 5.6851
Er 1.8429 3.2567 1.2652
Pm 3.3617 3.8173 4.5925
La 6.6832 6.2338 2.6712
La 3.1895 -0.0063 0.1996
La 0.0402 1.4009 6.5138
```

# 5
Rb2Cd3In4Sn: optimized geometry, PBE.

Computed properties:
Calculated volume = 31.64 Å³ per atom
Crystal system = tetragonal
Space-group type = P-4m2
E_tot = -2.06 eV/atom

Structure (extended XYZ):
```
10
Lattice="-3.8737 -1.0868 -2.9140 3.0646 -2.1273 -3.2805 -1.3681 -11.2396 6.0104" Properties=species:S:1:pos:R:3 pbc="T T T"
In 1.0348 -5.1504 0.5452
In 0.0000 0.0000 0.0000
In -2.8075 -7.6962 2.3680
In -0.4046 -1.6070 -3.0973
Rb -2.2793 -3.3566 0.0474
Rb 0.5066 -9.4900 2.8658
Sn -1.0887 -7.2268 -0.0920
Cd -0.6841 -5.6198 3.0052
Cd 1.3479 -2.5784 -0.8302
Cd -3.1206 -10.2682 3.7434
```

# 6
NaZrAl2: optimized geometry, PBE.

Computed properties:
Calculated volume = 22.13 Å³ per atom
Energy relative to the lowest polymorph listed for this composition = 0.019 eV per atom
Crystal system = monoclinic
Space-group type = C2/m

Structure (extended XYZ):
```
16
Lattice="-2.2661 7.7174 -3.2003 -3.6674 -1.4673 -0.9415 -2.8688 0.8497 9.8507" Properties=species:S:1:pos:R:3 pbc="T T T"
Zr -3.2774 5.2366 4.6055
Zr -1.8575 3.3305 2.0449
Zr -5.1256 3.0216 6.4995
Zr -3.6768 4.0781 -0.7906
Al -4.5610 4.4895 2.0124
Al -2.8238 1.3675 0.1113
Al -4.1616 5.6480 7.4085
Al -4.2414 2.6102 3.6965
Al -5.9785 5.7322 5.5976
Al -2.4245 2.5260 5.5074
Al -2.7104 6.0410 1.1430
Al -0.9733 2.9190 -0.7581
Na -2.9974 -0.0660 3.0216
Na -2.5980 1.0925 8.4177
Na -2.5369 7.4746 -1.7673
Na -5.8050 7.1658 2.6873
```

# 7
BaNdCu10: optimized geometry, PBE.

Computed properties:
Calculated volume = 16.45 Å³ per atom
Crystal system = orthorhombic
Space-group type = Pmmm
E_tot = -4.04 eV/atom

Structure (extended XYZ):
```
12
Lattice="-1.8366 -2.2867 -2.7513 3.1068 -4.1286 1.3577 -6.1859 -2.5892 6.2813" Properties=species:S:1:pos:R:3 pbc="T T T"
Cu -3.1655 -6.1087 4.2514
Cu -0.2507 -4.8886 1.2916
Cu 0.4535 -2.5247 1.7957
Cu 0.6351 -3.2077 -0.6968
Cu -3.5326 -4.1932 5.8433
Cu -4.0112 -2.4380 1.7650
Cu -4.6650 -4.1160 3.5961
Cu -1.7502 -2.8959 0.6363
Cu -4.0776 -1.7068 4.1405
Cu -2.1083 -0.8825 2.1408
Ba 0.0000 0.0000 0.0000
Nd -1.5395 -3.3589 3.8195
```

# 8
TlInGa2Cl8: optimized geometry, PBE.

Computed properties:
Calculated volume = 34.11 Å³ per atom
Crystal system = trigonal
Space-group type = P-3
Formation energy without anion corrections = -13.2 eV/f.u.

Structure (extended XYZ):
```
12
Lattice="6.6770 0.0000 0.0000 -3.3385 5.7825 0.0000 0.0000 0.0000 10.6008" Properties=species:S:1:pos:R:3 pbc="T T T"
Ga 3.3385 1.9275 2.2676
Ga 0.0000 3.8550 8.3332
Tl 0.0000 0.0000 0.0000
Cl 4.3085 3.7834 2.9688
Cl -0.9700 1.9990 7.6320
Cl -1.1223 5.6230 7.6320
Cl 3.3385 1.9275 0.0739
Cl 2.0923 3.9429 7.6320
Cl 1.2462 1.8396 2.9688
Cl 4.4608 0.1595 2.9688
Cl 0.0000 3.8550 10.5269
In 0.0000 0.0000 5.3004
```

# 9
ZrGaOs: optimized geometry, PBE.

Computed properties:
Calculated volume = 18.05 Å³ per atom
Crystal system = monoclinic
Space-group type = Cm
E_tot = -7.93 eV/atom

Structure (extended XYZ):
```
12
Lattice="7.2232 0.0000 0.0006 0.0000 3.3474 0.0000 -2.7231 0.0000 8.9602" Properties=species:S:1:pos:R:3 pbc="T T T"
Os 1.3295 0.0000 6.3820
Os 2.6910 1.6737 1.9019
Os 3.6237 0.0000 8.5518
Os 4.9852 1.6737 4.0718
Ga 0.1065 1.6737 1.4454
Ga 2.8865 0.0000 4.0008
Ga -1.2551 0.0000 5.9255
Ga 1.5249 1.6737 8.4809
Zr 4.9224 0.0000 1.8694
Zr 3.5609 1.6737 6.3495
Zr 0.5427 1.6737 4.3569
Zr -0.8188 0.0000 8.8369
```

# 10
La2PuCrN5: optimized geometry, PBE.

Computed properties:
Calculated volume = 14.78 Å³ per atom
Crystal system = orthorhombic
Space-group type = Cmc2_1
Formation energy without anion corrections = -9.6 eV/f.u.

Structure (extended XYZ):
```
18
Lattice="3.5152 0.0000 0.0000 -1.7576 7.0747 0.0000 0.0000 0.0000 10.6962" Properties=species:S:1:pos:R:3 pbc="T T T"
Pu 1.7576 4.3215 5.6935
Pu 0.0000 2.7533 0.3453
N 0.0000 4.7213 4.2464
N 1.7576 3.0318 1.7688
N 1.7576 6.6779 5.3615
N 1.7576 2.3534 9.5945
N 0.0000 6.9202 8.3703
N 0.0000 0.3968 0.0134
N 1.7576 0.1545 3.0222
N 0.0000 4.8777 0.0972
N 1.7576 2.1970 5.4453
N 0.0000 4.0429 7.1169
La 1.7576 5.0680 8.8804
La 0.0000 1.5284 7.2229
La 0.0000 2.0068 3.5323
La 1.7576 5.5464 1.8748
Cr 0.0000 6.5406 4.6091
Cr 1.7576 0.5341 9.9572
```

# 11
CePu2Hg3: optimized geometry, PBE.

Computed properties:
Calculated volume = 25.27 Å³ per atom
Crystal system = tetragonal
Space-group type = P4/mmm
E_tot = -6.10 eV/atom

Structure (extended XYZ):
```
6
Lattice="-1.4715 -2.3335 1.7224 2.6199 -0.2408 1.9119 -5.4833 9.9264 8.7642" Properties=species:S:1:pos:R:3 pbc="T T T"
Hg -1.8256 3.3048 2.9179
Hg 0.0000 0.0000 0.0000
Hg -3.6577 6.6216 5.8463
Pu -3.9948 6.9842 9.1200
Pu -0.3400 0.3679 3.2784
Ce -2.1674 3.6760 6.1992
```

# 12
CsB2H8Pb: optimized geometry, PBE.

Computed properties:
Calculated volume = 13.98 Å³ per atom
Crystal system = trigonal
Space-group type = R-3
E_tot = -3.84 eV/atom

Structure (extended XYZ):
```
12
Lattice="-0.9334 -0.6832 4.9963 -3.0547 -3.8212 1.5388 4.5037 -5.9717 2.6568" Properties=species:S:1:pos:R:3 pbc="T T T"
H -0.6042 -2.5197 1.1519
H 0.2733 -9.2037 6.7078
H 1.4670 -7.7139 6.0734
H 1.1198 -7.9565 8.0401
H -0.9514 -2.7622 3.1185
H -0.3524 -7.2907 6.8333
H 0.8680 -3.1855 2.3586
H 0.2423 -1.2724 2.4841
B -0.1042 -2.4404 2.2789
B 0.6198 -8.0357 6.9131
Pb 0.0000 0.0000 0.0000
Cs 0.2578 -5.2381 4.5960
```